This record from the Alexandria database describes a relaxed Nd3Zn2Au7 crystal. The functional is PBE.

Values from the calculation:
The calculation puts the volume at 22.0 Å³ per atom. As for the density of states at the Fermi level: 4.5 states/eV/cell. The spin magnetization is 0.00 Bohr magnetons per cell. The energy of formation from the pure elements is -0.539 eV/atom.

Unit cell a=14.765 b=14.765 c=14.765 alpha=163.34 beta=163.34 gamma=23.64
Fractional positions:
Nd 0.000 0.000 0.000
Nd 0.173 0.173 0.000
Nd 0.827 0.827 0.000
Zn 0.368 0.368 0.000
Zn 0.632 0.632 0.000
Au 0.081 0.581 0.500
Au 0.278 0.278 0.000
Au 0.419 0.919 0.500
Au 0.500 0.500 0.000
Au 0.581 0.081 0.500
Au 0.722 0.722 0.000
Au 0.919 0.419 0.500